(1)
Density functional theory data (PBE-GGA) for an optimized crystal structure of YTaMo2.

Lattice parameters (Å, degrees): 5.468 5.468 2.898 79.10 79.10 113.38
Fractional coordinates of all 4 atoms:
Mo 0.500 0.500 0.000
Y 0.000 0.500 0.500
Ta 0.500 0.000 0.500
Mo 0.000 0.000 0.000

Values from the calculation:
energy relative to the elements	0.39	eV/atom
energy above the lowest structure with this stoichiometry	0.753	eV per formula unit
SG	C2/m (12)

(2)
Density functional theory data (PBE-GGA) for an optimized crystal structure of U6Cu.

Lattice parameters (Å, degrees): 6.157 6.157 6.157 109.47 109.47 109.47
Each line ends with the local moment (μB).
Fractional coordinates of all 7 atoms:
U 0.250 0.500 0.750  0.52
Cu 0.000 0.000 0.000  0.01
U 0.500 0.250 0.750  0.52
U 0.500 0.750 0.250  0.52
U 0.750 0.250 0.500  0.52
U 0.250 0.750 0.500  0.52
U 0.750 0.500 0.250  0.52

Values from the calculation:
energy relative to the elements	1.30	eV/atom
SG	Im-3m (229)

(3)
Density functional theory data (PBE-GGA) for an optimized crystal structure of V2PdSe3.

Lattice parameters (Å, degrees): 3.314 3.314 24.410 90.00 90.00 120.00
Each line ends with the local moment (μB).
Fractional coordinates of all 12 atoms:
Se 0.333 0.667 0.958  -0.02
Se 0.333 0.667 0.540  -0.02
V 0.333 0.667 0.249  -0.33
Pd 0.667 0.333 0.180  0.01
V 0.333 0.667 0.751  0.93
V 0.667 0.333 0.023  0.48
Pd 0.667 0.333 0.317  0.01
V 0.667 0.333 0.475  0.50
Se 0.667 0.333 0.816  -0.06
Se 0.333 0.667 0.089  -0.01
Se 0.667 0.333 0.685  -0.05
Se 0.333 0.667 0.409  -0.02

Values from the calculation:
energy above the lowest structure with this stoichiometry	0.000	eV per formula unit
SG	P3m1 (156)

(4)
Density functional theory data (PBE-GGA) for an optimized crystal structure of HoFe4Mo.

Lattice parameters (Å, degrees): 4.924 4.924 4.924 60.00 60.00 60.00
Each line ends with the local moment (μB).
Fractional coordinates of all 6 atoms:
Fe 0.128 0.624 0.624  1.79
Fe 0.624 0.624 0.128  1.79
Mo 0.250 0.250 0.250  -0.78
Fe 0.624 0.128 0.624  1.79
Ho 0.000 0.000 0.000  -0.29
Fe 0.624 0.624 0.624  1.79

Values from the calculation:
energy relative to the elements	0.08	eV/atom
SG	F-43m (216)

(5)
Density functional theory data (PBE-GGA) for an optimized crystal structure of NaTlNiH6.

Lattice parameters (Å, degrees): 5.162 5.163 4.997 90.02 89.99 59.96
Fractional coordinates of all 9 atoms:
H 0.318 0.108 0.685
Na 0.666 0.667 0.500
H 0.573 0.319 0.685
Tl 0.000 0.000 0.000
H 0.108 0.574 0.685
Ni 0.333 0.333 0.500
H 0.319 0.573 0.315
H 0.108 0.319 0.315
H 0.574 0.108 0.315

Values from the calculation:
final energy	-29.22	eV for the cell shown
SG	P312 (149)

(6)
Density functional theory data (PBE-GGA) for an optimized crystal structure of Cs2LiHSe.

Lattice parameters (Å, degrees): 4.483 4.483 9.333 90.00 90.00 120.00
Fractional coordinates of all 5 atoms:
Se 0.000 0.000 0.000
Cs 0.667 0.333 0.291
H 0.333 0.667 0.500
Cs 0.667 0.333 0.709
Li 0.333 0.667 0.000

Values from the calculation:
energy above the lowest structure with this stoichiometry	0.070	eV per formula unit
SG	P-6m2 (187)

(7)
Density functional theory data (PBE-GGA) for an optimized crystal structure of Ba8Ga6H.

Lattice parameters (Å, degrees): 4.790 11.415 11.415 120.00 90.00 90.00
Fractional coordinates of all 15 atoms:
Ba 0.742 0.787 0.693
Ba 0.246 0.667 0.333
Ba 0.258 0.213 0.307
Ga 0.247 0.018 0.454
Ga 0.753 0.982 0.546
Ba 0.754 0.333 0.667
H 0.500 0.000 0.000
Ga 0.247 0.436 0.982
Ba 0.742 0.307 0.094
Ga 0.753 0.564 0.018
Ba 0.258 0.094 0.787
Ga 0.753 0.454 0.436
Ba 0.258 0.693 0.906
Ga 0.247 0.546 0.564
Ba 0.742 0.906 0.213

Values from the calculation:
final energy	-40.68	eV for the cell shown
SG	P-3 (147)

(8)
Density functional theory data (PBE-GGA) for an optimized crystal structure of SrLi6AlCd.

Lattice parameters (Å, degrees): 5.497 10.986 9.718 124.42 106.43 90.00
Fractional coordinates of all 18 atoms:
Li 0.905 0.155 0.811
Li 0.905 0.127 0.323
Li 0.905 0.695 0.323
Li 0.095 0.873 0.677
Cd 0.500 0.000 0.000
Sr 0.870 0.620 0.741
Li 0.095 0.305 0.677
Al 0.500 0.000 0.500
Li 0.576 0.826 0.151
Li 0.424 0.174 0.849
Li 0.418 0.695 0.323
Sr 0.130 0.380 0.259
Cd 0.500 0.500 0.000
Al 0.000 0.000 0.500
Li 0.095 0.845 0.189
Li 0.582 0.305 0.677
Li 0.582 0.873 0.677
Li 0.418 0.127 0.323

Values from the calculation:
energy relative to the elements	0.07	eV/atom
SG	Imma (74)

(9)
Density functional theory data (PBE-GGA) for an optimized crystal structure of NdSmTm2.

Lattice parameters (Å, degrees): 3.630 8.483 12.523 137.59 90.00 90.00
Fractional coordinates of all 8 atoms:
Tm 0.910 0.703 0.406
Tm 0.910 0.701 0.907
Sm 0.910 0.204 0.826
Tm 0.411 0.203 0.075
Sm 0.410 0.701 0.156
Nd 0.911 0.200 0.324
Nd 0.410 0.705 0.658
Tm 0.411 0.202 0.575

Values from the calculation:
energy relative to the elements	0.03	eV/atom
energy above the lowest structure with this stoichiometry	0.030	eV per formula unit
SG	P2_1/m (11)

(10)
Density functional theory data (PBE-GGA) for an optimized crystal structure of LaSiIr2.

Lattice parameters (Å, degrees): 5.512 5.512 2.973 74.82 74.82 113.86
Fractional coordinates of all 4 atoms:
Ir 0.500 0.500 0.000
Si 0.000 0.500 0.500
Ir 0.000 0.000 0.000
La 0.500 0.000 0.500

Values from the calculation:
final energy	-27.95	eV for the cell shown
SG	C2/m (12)

(11)
Density functional theory data (PBE-GGA) for an optimized crystal structure of La16Tb7Tm6.

Lattice parameters (Å, degrees): 11.450 11.450 11.450 60.00 60.00 60.00
Fractional coordinates of all 29 atoms:
Tm 0.259 0.741 0.259
La 0.648 0.648 0.056
Tb 0.500 0.000 0.000
Tm 0.259 0.259 0.741
La 0.944 0.352 0.352
Tm 0.259 0.741 0.741
La 0.125 0.125 0.626
Tm 0.741 0.259 0.741
Tb 0.000 0.500 0.000
La 0.648 0.056 0.648
La 0.374 0.875 0.875
La 0.875 0.374 0.875
La 0.352 0.944 0.352
Tb 0.500 0.500 0.000
La 0.875 0.875 0.374
Tb 0.000 0.500 0.500
La 0.648 0.648 0.648
La 0.875 0.875 0.875
Tm 0.741 0.259 0.259
La 0.626 0.125 0.125
Tm 0.741 0.741 0.259
La 0.056 0.648 0.648
La 0.352 0.352 0.352
Tb 0.000 0.000 0.000
La 0.352 0.352 0.944
La 0.125 0.626 0.125
Tb 0.500 0.000 0.500
La 0.125 0.125 0.125
Tb 0.000 0.000 0.500

Values from the calculation:
energy relative to the elements	0.20	eV/atom
SG	Fm-3m (225)

(12)
Density functional theory data (PBE-GGA) for an optimized crystal structure of Pr3In4Ga2.

Lattice parameters (Å, degrees): 4.765 6.215 9.203 71.22 75.00 67.46
Fractional coordinates of all 9 atoms:
In 0.271 0.386 0.072
In 0.975 0.693 0.358
Pr 0.678 0.295 0.350
In 0.025 0.307 0.642
Ga 0.621 0.050 0.709
Ga 0.379 0.950 0.291
In 0.729 0.614 0.928
Pr 0.322 0.705 0.650
Pr 0.000 0.000 0.000

Values from the calculation:
energy relative to the elements	-0.51	eV/atom
SG	C2/m (12)

(13)
Density functional theory data (PBE-GGA) for an optimized crystal structure of Y2SnSe4.

Lattice parameters (Å, degrees): 4.157 7.199 8.101 114.58 104.87 90.00
Fractional coordinates of all 7 atoms:
Sn 0.000 0.000 0.000
Se 0.357 0.004 0.714
Y 0.268 0.279 0.536
Se 0.643 0.996 0.286
Se 0.131 0.453 0.262
Y 0.732 0.721 0.464
Se 0.869 0.547 0.738

Values from the calculation:
energy above the lowest structure with this stoichiometry	0.015	eV per formula unit
SG	C2/m (12)

(14)
Density functional theory data (PBE-GGA) for an optimized crystal structure of Zr2CoPt9.

Lattice parameters (Å, degrees): 4.005 4.005 11.995 90.00 90.00 90.00
Each line ends with the local moment (μB).
Fractional coordinates of all 12 atoms:
Pt 0.500 0.500 0.330  0.05
Zr 0.000 0.000 0.326  0.02
Pt 0.000 0.500 0.840  0.18
Pt 0.500 0.000 0.500  0.03
Pt 0.000 0.500 0.160  0.18
Pt 0.500 0.500 0.670  0.05
Pt 0.000 0.500 0.500  0.03
Pt 0.500 0.000 0.160  0.18
Co 0.000 0.000 0.000  2.21
Pt 0.500 0.500 0.000  0.29
Zr 0.000 0.000 0.674  0.02
Pt 0.500 0.000 0.840  0.18

Values from the calculation:
energy relative to the elements	-0.70	eV/atom
SG	P4/mmm (123)

(15)
Density functional theory data (PBE-GGA) for an optimized crystal structure of Ac3DyTe4.

Lattice parameters (Å, degrees): 4.551 8.094 8.094 108.41 90.00 90.00
Fractional coordinates of all 8 atoms:
Te 0.500 0.240 0.760
Te 0.000 0.231 0.231
Ac 0.000 0.500 0.000
Te 0.500 0.760 0.240
Ac 0.000 0.000 0.500
Dy 0.500 0.000 0.000
Te 0.000 0.769 0.769
Ac 0.500 0.500 0.500

Values from the calculation:
energy above the lowest structure with this stoichiometry	0.024	eV per formula unit
SG	Cmmm (65)

(16)
Density functional theory data (PBE-GGA) for an optimized crystal structure of PdAu.

Lattice parameters (Å, degrees): 4.760 4.923 8.565 90.00 90.00 90.00
Fractional coordinates of all 12 atoms:
Au 0.500 0.409 0.667
Pd 0.500 0.916 0.833
Au 0.000 0.591 0.500
Pd 0.000 0.084 0.000
Pd 0.500 0.916 0.167
Pd 0.000 0.084 0.333
Au 0.500 0.409 0.333
Au 0.000 0.591 0.833
Au 0.500 0.409 0.000
Pd 0.500 0.916 0.500
Pd 0.000 0.084 0.667
Au 0.000 0.591 0.167

Values from the calculation:
energy relative to the elements	-0.04	eV/atom
SG	Pmmn (59)

(17)
Density functional theory data (PBE-GGA) for an optimized crystal structure of PaP2Ru2Pt.

Lattice parameters (Å, degrees): 3.775 6.065 8.498 90.00 90.00 90.00
Each line ends with the local moment (μB).
Fractional coordinates of all 12 atoms:
Ru 0.500 0.515 0.918  0.02
Ru 0.000 0.371 0.158  0.01
P 0.000 0.756 0.100  0.00
Pt 0.500 0.660 0.315  -0.01
Pa 0.000 0.480 0.572  0.33
P 0.500 0.764 0.705  0.00
Pt 0.500 0.160 0.685  -0.01
P 0.000 0.256 0.900  0.00
P 0.500 0.264 0.295  0.00
Ru 0.000 0.871 0.842  0.01
Ru 0.500 0.015 0.082  0.02
Pa 0.000 0.980 0.428  0.33

Values from the calculation:
energy relative to the elements	-0.66	eV/atom
SG	Pmc2_1 (26)

(18)
Density functional theory data (PBE-GGA) for an optimized crystal structure of TiBeCo4.

Lattice parameters (Å, degrees): 4.621 4.621 4.621 60.00 60.00 60.00
Each line ends with the local moment (μB).
Fractional coordinates of all 6 atoms:
Co 0.626 0.626 0.123  1.05
Co 0.626 0.626 0.626  1.05
Co 0.123 0.626 0.626  1.05
Co 0.626 0.123 0.626  1.05
Ti 0.250 0.250 0.250  -0.42
Be 0.000 0.000 0.000  -0.02

Values from the calculation:
energy relative to the elements	-0.09	eV/atom
energy above the lowest structure with this stoichiometry	0.334	eV per formula unit
SG	F-43m (216)

(19)
Density functional theory data (PBE-GGA) for an optimized crystal structure of Tb2Pm3Pr5.

Lattice parameters (Å, degrees): 11.208 10.113 10.113 56.45 56.35 56.35
Fractional coordinates of all 20 atoms:
Pm 0.875 0.875 0.375
Pr 0.750 0.500 0.500
Pr 0.124 0.478 0.273
Pm 0.750 0.000 0.000
Pm 0.125 0.125 0.625
Pr 0.002 0.248 0.248
Pr 0.998 0.752 0.752
Pm 0.250 0.000 0.000
Tb 0.377 0.036 0.210
Pr 0.624 0.273 0.478
Tb 0.877 0.210 0.036
Pm 0.625 0.625 0.125
Tb 0.623 0.964 0.790
Pr 0.498 0.752 0.752
Pr 0.250 0.500 0.500
Pr 0.502 0.248 0.248
Tb 0.123 0.790 0.964
Pr 0.876 0.522 0.727
Pm 0.375 0.375 0.875
Pr 0.376 0.727 0.522

Values from the calculation:
energy relative to the elements	0.35	eV/atom
energy above the lowest structure with this stoichiometry	1.786	eV per formula unit
SG	Ibam (72)

(20)
Density functional theory data (PBE-GGA) for an optimized crystal structure of MnZnMoP2.

Lattice parameters (Å, degrees): 4.611 5.099 4.611 90.00 90.00 90.00
Each line ends with the local moment (μB).
Fractional coordinates of all 5 atoms:
Mn 0.000 0.500 0.000  4.06
Mo 0.000 0.000 0.000  -0.27
P 0.000 0.000 0.500  -0.01
Zn 0.500 0.500 0.500  -0.02
P 0.500 0.000 0.000  0.04

Values from the calculation:
energy relative to the elements	0.64	eV/atom
SG	P4/mmm (123)

(21)
Density functional theory data (PBE-GGA) for an optimized crystal structure of CaSb2WSe.

Lattice parameters (Å, degrees): 5.468 5.120 5.468 90.00 90.00 90.00
Each line ends with the local moment (μB).
Fractional coordinates of all 5 atoms:
W 0.500 0.500 0.500  2.99
Sb 0.500 0.000 0.000  -0.11
Sb 0.000 0.000 0.500  -0.10
Ca 0.000 0.500 0.000  0.02
Se 0.000 0.000 0.000  0.00

Values from the calculation:
final energy	-21.74	eV for the cell shown
SG	P4/mmm (123)

(22)
Density functional theory data (PBE-GGA) for an optimized crystal structure of La2SbPd7.

Lattice parameters (Å, degrees): 4.026 4.026 12.761 90.00 90.00 90.00
Fractional coordinates of all 10 atoms:
Pd 0.500 0.500 0.500
Pd 0.500 0.000 0.356
Pd 0.000 0.500 0.850
Pd 0.500 0.000 0.150
La 0.500 0.000 0.725
La 0.000 0.500 0.275
Pd 0.000 0.000 0.500
Sb 0.500 0.500 0.000
Pd 0.000 0.500 0.644
Pd 0.000 0.000 0.000

Values from the calculation:
final energy	-56.23	eV for the cell shown
SG	P-4m2 (115)

Number 1: total magnetization 0.0 μB per formula unit, calculated volume 74.68 Å³/cell. Number 2: total magnetization 3.0 μB per formula unit, calculated volume 179.71 Å³/cell. Number 3: total magnetization 0.8 μB per formula unit, calculated volume 232.11 Å³/cell. Number 4: total magnetization 6.0 μB per formula unit, calculated volume 84.40 Å³/cell. Number 5: total magnetization 0.0 μB per formula unit, calculated volume 115.27 Å³/cell. Number 6: total magnetization 0.0 μB per formula unit, calculated volume 162.40 Å³/cell. Number 7: total magnetization 0.0 μB per formula unit, calculated volume 540.53 Å³/cell. Number 8: total magnetization 0.0 μB per formula unit, calculated volume 454.82 Å³/cell. Number 9: total magnetization 0.0 μB per formula unit, calculated volume 260.10 Å³/cell. Number 10: total magnetization 0.0 μB per formula unit, calculated volume 72.48 Å³/cell. Number 11: total magnetization 0.0 μB per formula unit, calculated volume 1061.54 Å³/cell. Number 12: total magnetization 0.0 μB per formula unit, calculated volume 235.44 Å³/cell. Number 13: total magnetization 0.0 μB per formula unit, calculated volume 211.53 Å³/cell. Number 14: total magnetization 3.4 μB per formula unit, calculated volume 192.38 Å³/cell. Number 15: total magnetization 0.0 μB per formula unit, calculated volume 282.87 Å³/cell. Number 16: total magnetization 0.0 μB per formula unit, calculated volume 200.72 Å³/cell. Number 17: total magnetization 0.4 μB per formula unit, calculated volume 194.55 Å³/cell. Number 18: total magnetization 3.6 μB per formula unit, calculated volume 69.79 Å³/cell. Number 19: total magnetization 0.0 μB per formula unit, calculated volume 742.64 Å³/cell. Number 20: total magnetization 4.1 μB per formula unit, calculated volume 108.38 Å³/cell. Number 21: total magnetization 3.8 μB per formula unit, calculated volume 153.07 Å³/cell. Number 22: total magnetization 0.0 μB per formula unit, calculated volume 206.84 Å³/cell.